# 1
Ba8Rh2Au3 PBE-GGA optimized geometry; E_tot = -3.48 eV/atom; density of states at the Fermi level = 8.11 states/eV per cell; formation enthalpy at 0 K = -408.1 meV per atom; space-group type = C2/m (12); crystal system = monoclinic
1.0
-0.387 6.382 4.674
-8.534 -0.081 3.818
-1.216 -3.210 8.697
Ba Rh Au
8 2 3
direct
0.772 0.632 0.632 Ba
0.228 0.368 0.368 Ba
0.763 0.127 0.127 Ba
0.237 0.873 0.873 Ba
0.769 0.619 0.106 Ba
0.769 0.106 0.619 Ba
0.231 0.894 0.381 Ba
0.231 0.381 0.894 Ba
0.996 0.251 0.251 Rh
0.004 0.749 0.749 Rh
0.500 0.000 0.000 Au
0.000 0.251 0.749 Au
0.000 0.749 0.251 Au

---

# 2
Ba8Rh2Au PBE-GGA optimized geometry; E_tot = -3.29 eV/atom; density of states at the Fermi level = 7.20 states/eV per cell; formation enthalpy at 0 K = -260.8 meV per atom; space-group type = C2/m (12); crystal system = monoclinic
1.0
7.737 0.024 0.055
0.009 7.982 -4.609
0.003 -0.179 8.905
Ba Rh Au
8 2 1
direct
0.299 0.618 0.236 Ba
0.701 0.382 0.764 Ba
0.833 0.897 0.280 Ba
0.317 0.135 0.270 Ba
0.167 0.617 0.720 Ba
0.167 0.103 0.720 Ba
0.683 0.865 0.730 Ba
0.833 0.383 0.280 Ba
0.994 0.258 0.517 Rh
0.006 0.742 0.483 Rh
0.000 0.000 0.000 Au

---

# 3
BaRh2Au PBE-GGA optimized geometry; E_tot = -4.68 eV/atom; density of states at the Fermi level = 4.90 states/eV per cell; formation enthalpy at 0 K = 294.3 meV per atom; space-group type = I-4m2 (119); crystal system = tetragonal
1.0
1.163 -2.984 4.258
1.579 3.197 3.958
-4.305 0.138 -3.135
Ba Rh Au
1 2 1
direct
0.750 0.250 0.500 Ba
0.000 0.000 0.000 Rh
0.250 0.750 0.500 Rh
0.500 0.500 0.000 Au

---

# 4
Ba12Rh2Au5 PBE-GGA optimized geometry; E_tot = -3.28 eV/atom; density of states at the Fermi level = 11.13 states/eV per cell; formation enthalpy at 0 K = -426.0 meV per atom; space-group type = C2/m (12); crystal system = monoclinic
1.0
9.071 0.000 0.000
-4.535 8.223 -2.629
0.000 0.101 11.329
Ba Rh Au
12 2 5
direct
0.952 0.903 0.164 Ba
0.078 0.645 0.856 Ba
0.567 0.645 0.856 Ba
0.113 0.731 0.477 Ba
0.619 0.731 0.477 Ba
0.530 0.059 0.829 Ba
0.470 0.941 0.171 Ba
0.887 0.269 0.523 Ba
0.381 0.269 0.523 Ba
0.922 0.355 0.144 Ba
0.433 0.355 0.144 Ba
0.048 0.097 0.836 Ba
0.752 0.000 0.000 Rh
0.248 0.000 0.000 Rh
0.292 0.584 0.624 Au
0.264 0.528 0.027 Au
0.000 0.000 0.500 Au
0.736 0.472 0.973 Au
0.708 0.416 0.376 Au

---

# 5
BaRh2Au PBE-GGA optimized geometry; E_tot = -4.74 eV/atom; density of states at the Fermi level = 6.24 states/eV per cell; formation enthalpy at 0 K = 235.1 meV per atom; space-group type = Imm2 (44); crystal system = orthorhombic
1.0
-0.277 -5.602 2.189
-0.257 -0.940 5.942
-2.420 2.336 -4.994
Ba Rh Au
1 2 1
direct
0.756 0.256 0.500 Ba
0.034 0.034 0.000 Rh
0.239 0.739 0.500 Rh
0.471 0.471 0.000 Au

---

# 6
Ba8RhAu2 PBE-GGA optimized geometry; E_tot = -3.00 eV/atom; density of states at the Fermi level = 8.60 states/eV per cell; formation enthalpy at 0 K = -332.7 meV per atom; space-group type = C2/m (12); crystal system = monoclinic
1.0
7.920 -0.007 0.008
-0.161 8.317 3.301
-0.174 0.891 8.903
Ba Rh Au
8 1 2
direct
0.839 0.882 0.356 Ba
0.161 0.644 0.118 Ba
0.688 0.879 0.879 Ba
0.312 0.121 0.121 Ba
0.839 0.356 0.882 Ba
0.161 0.118 0.644 Ba
0.339 0.627 0.627 Ba
0.661 0.373 0.373 Ba
0.000 0.000 0.000 Rh
0.002 0.740 0.740 Au
0.998 0.260 0.260 Au